The following is a DFT calculation (PBE) of a relaxed Pr2YRe crystal.

POSCAR file:
```
Pr2YRe
1.0
3.357 0.000 0.000
1.679 2.907 0.000
1.679 0.969 11.551
Pr Re Y
2 1 1
Direct
0.923 0.923 0.231
0.077 0.077 0.769
0.000 0.000 0.000
0.500 0.500 0.500
```

Computed properties:
Density ... 8.2 g/cm³
Symmetry ... R-3m (166)

=====

The following is a DFT calculation (PBE) of a relaxed MgPa2As crystal.

POSCAR file:
```
MgPa2As
1.0
-0.249 3.295 -0.495
-2.093 1.188 -2.317
-8.694 2.010 6.477
Mg As Pa
1 1 2
Direct
0.000 0.000 0.000
0.500 0.500 0.500
0.102 0.102 0.694
0.898 0.898 0.306
```

Computed properties:
Density ... 8.9 g/cm³
Symmetry ... R-3m (166)

=====

Number 1: electronic total energy -6.191 eV per atom, total magnetization 0.00 μB/f.u.. Number 2: electronic total energy -6.223 eV per atom, total magnetization 0.00 μB/f.u..